{"formula": "HoPd3Au", "functional": "PBE", "state": "optimized geometry", "lattice": [[4.688, 0.000, 0.000], [0.000, 5.893, 0.000], [-2.341, 0.000, 6.583]], "species": ["Ho", "Ho", "Pd", "Pd", "Pd", "Pd", "Pd", "Pd", "Au", "Au"], "frac_coords": [[0.112, 0.250, 0.224], [0.888, 0.750, 0.776], [0.315, 0.005, 0.629], [0.315, 0.495, 0.629], [0.493, 0.250, 0.986], [0.507, 0.750, 0.014], [0.685, 0.505, 0.371], [0.685, 0.995, 0.371], [0.131, 0.750, 0.263], [0.869, 0.250, 0.737]], "e_tot_ev_per_cell": -53.28, "sg": "P2_1/m", "de_polymorph_kj_per_mol_atoms": 0.00, "rho_g_cm3": 12.4, "crystal_system": "monoclinic", "e_form_mev_per_atom": -642}